Record 1
An optimized crystal structure of H2RuCl8. Source: the Alexandria database, functional GGA-PBE.

Computed properties:
* electronic total energy: -34.47 eV per formula unit
* magnetic moment: 1.59 μB per cell

Geometry as extended XYZ:
```
11
Lattice="6.9788 -4.0631 0.0000 6.9788 4.0631 0.0000 -0.0958 0.0000 5.3086" Properties=species:S:1:pos:R:3 pbc="T T T"
H 3.2633 0.0000 0.1586
H 10.5985 0.0000 5.1501
Ru 6.9788 0.0000 0.0000
Cl 2.2328 0.0000 0.9575
Cl 6.1055 1.6199 1.3660
Cl 4.9396 0.0000 4.0315
Cl 7.7562 1.6199 3.9426
Cl 6.1055 -1.6199 1.3660
Cl 8.9221 0.0000 1.2771
Cl 7.7562 -1.6199 3.9426
Cl 11.6289 0.0000 4.3511
```

Record 2
An optimized crystal structure of HRu2Cl. Source: the Alexandria database, functional GGA-PBE.

Computed properties:
* electronic total energy: -21.76 eV per formula unit
* magnetic moment: 0.00 μB per cell

Geometry as extended XYZ:
```
8
Lattice="-2.3925 2.3925 4.4662 2.3925 -2.3925 4.4662 2.3925 2.3925 -4.4662" Properties=species:S:1:pos:R:3 pbc="T T T"
H 0.0000 0.0000 0.0000
H 0.0000 2.3925 2.2331
Ru 3.5887 0.6836 -1.1165
Ru 0.6836 1.1962 1.1165
Ru -1.1962 1.7088 3.3496
Ru 1.7088 1.1962 5.5827
Cl 2.3925 0.0000 2.2331
Cl 0.0000 0.0000 4.4662
```

Record 3
An optimized crystal structure of HRuCl2. Source: the Alexandria database, functional GGA-PBE.

Computed properties:
* electronic total energy: -14.27 eV per formula unit
* magnetic moment: 0.00 μB per cell

Geometry as extended XYZ:
```
8
Lattice="-2.5297 2.5297 4.7268 2.5297 -2.5297 4.7268 2.5297 2.5297 -4.7268" Properties=species:S:1:pos:R:3 pbc="T T T"
H 0.0000 0.0000 0.0000
H 0.0000 2.5297 2.3634
Ru 2.5297 0.0000 2.3634
Ru 0.0000 0.0000 4.7268
Cl 3.7945 0.9841 -1.1817
Cl 0.9841 1.2648 1.1817
Cl -1.2648 1.5456 3.5451
Cl 1.5456 1.2648 5.9085
```

Record 4
An optimized crystal structure of HRuS2Cl. Source: the Alexandria database, functional GGA-PBE.

Computed properties:
* electronic total energy: -18.13 eV per formula unit
* magnetic moment: 3.20 μB per cell

Geometry as extended XYZ:
```
5
Lattice="3.6427 0.0000 0.0000 0.0000 3.6427 0.0000 0.0000 0.0000 6.0170" Properties=species:S:1:pos:R:3 pbc="T T T"
H 0.0000 0.0000 0.0000
Ru 1.8214 1.8214 3.0085
S 0.0000 1.8214 0.0000
S 1.8214 0.0000 0.0000
Cl 0.0000 0.0000 3.0085
```

Record 5
An optimized crystal structure of HRuSCl2. Source: the Alexandria database, functional GGA-PBE.

Computed properties:
* electronic total energy: -16.14 eV per formula unit
* magnetic moment: 4.02 μB per cell

Geometry as extended XYZ:
```
5
Lattice="5.0418 0.0000 0.0000 0.0000 5.0418 0.0000 0.0000 0.0000 3.1902" Properties=species:S:1:pos:R:3 pbc="T T T"
H 0.0000 0.0000 0.0000
Ru 2.5209 2.5209 1.5951
S 0.0000 0.0000 1.5951
Cl 0.0000 2.5209 0.0000
Cl 2.5209 0.0000 0.0000
```

Record 6
An optimized crystal structure of HRuS2Cl. Source: the Alexandria database, functional GGA-PBE.

Computed properties:
* electronic total energy: -19.61 eV per formula unit
* magnetic moment: 0.64 μB per cell

Geometry as extended XYZ:
```
5
Lattice="4.5003 0.0000 0.0000 0.0000 4.5003 0.0000 0.0000 0.0000 5.1476" Properties=species:S:1:pos:R:3 pbc="T T T"
H 0.0000 0.0000 0.0000
Ru 2.2502 2.2502 2.5738
S 0.0000 2.2502 2.5738
S 2.2502 0.0000 2.5738
Cl 2.2502 2.2502 0.0000
```